Below is crystalline Ac2CePd9 at its relaxed geometry, with properties calculated at the GGA-PBE level.

Structure (CIF):
```
data_Ac2CePd9
_cell_length_a 5.4871
_cell_length_b 5.4871
_cell_length_c 9.7519
_cell_angle_alpha 73.66
_cell_angle_beta 73.66
_cell_angle_gamma 60.00
_symmetry_space_group_name_H-M 'P 1'
_symmetry_Int_Tables_number 1
loop_
_symmetry_equiv_pos_as_xyz
'x,y,z'
loop_
_atom_site_label
_atom_site_type_symbol
_atom_site_fract_x
_atom_site_fract_y
_atom_site_fract_z
Pd1 Pd 0.4166 0.9191 0.2476
Pd2 Pd 0.5834 0.0809 0.7524
Pd3 Pd 0.6669 0.6669 0.9994
Pd4 Pd 0.0809 0.5834 0.7524
Ac1 Ac 0.1362 0.1362 0.5914
Pd5 Pd 0.5834 0.5834 0.7524
Pd6 Pd 0.4166 0.4166 0.2476
Pd7 Pd 0.9191 0.4166 0.2476
Ce1 Ce 0.0000 0.0000 0.0000
Ac2 Ac 0.8638 0.8638 0.4086
Pd8 Pd 0.3331 0.3331 0.0006
Pd9 Pd 0.5000 0.5000 0.5000
```

Computed properties:
Offset from the most stable computed form   0.1019 eV/atom
V   20.0 A^3/atom